This record from the Alexandria database describes a relaxed structure of Li4Mn3VS8. The functional is PBE.

As for the formation energy (no corrections): -1401.2 kJ/mol of formula units. The space group is R-3m (166). For the density, the calculation gives 3.2 g cm⁻³. As for the spin magnetization: 14.01 μB per cell. For the calculated total energy, the calculation gives -5.74 eV/atom.

a = 7.0874 Å, b = 7.2324 Å, c = 7.0875 Å
α = 119.34°, β = 120.00°, γ = 90.00°
Last column: magnetic moment on the atom in μB.
Fractional coordinates of all 16 atoms:
Li 0.5000 0.0000 0.5000  0.02
Li 0.5000 0.0000 0.0000  0.00
Li 0.0000 0.0000 0.0000  0.02
Li 0.0000 0.0000 0.5000  0.02
S 0.2406 0.7284 0.4813  -0.02
S 0.2528 0.2715 0.0121  -0.02
S 0.7415 0.7246 0.4831  -0.03
S 0.7594 0.2716 0.5187  -0.02
S 0.2406 0.7285 0.9879  -0.02
S 0.7472 0.7285 0.9879  -0.02
S 0.2585 0.2754 0.5169  -0.03
S 0.7594 0.2715 0.0121  -0.02
V 0.0000 0.5000 0.0000  1.77
Mn 0.5000 0.5000 0.0000  3.75
Mn 0.0000 0.5000 0.5000  3.75
Mn 0.5000 0.5000 0.5000  3.75